The following is a PBE calculation of a geometry-optimized BeCdNO structure, from the Open Quantum Materials Database.

Crystal system: orthorhombic

Cell: 3.1414 5.6371 4.8943 Å, 90.00 90.00 90.00°
Space group Pmc2_1 (No. 26)
Inequivalent atoms, fractional coordinates:
Be: 0.0000 0.1584 0.0000 (multiplicity 2)
Cd: 0.5000 0.3121 0.4812 (multiplicity 2)
N: 0.5000 0.3018 0.9510 (multiplicity 2)
O: 0.0000 0.0758 0.3152 (multiplicity 2)

=====

The following is a PBE calculation of a geometry-optimized TbSmBe2Si2 structure, from the Open Quantum Materials Database.

M_tot: 0.0 Bohr magnetons per cell
Crystal system: trigonal

Cell: 3.9025 3.9025 8.2041 Å, 90.00 90.00 120.00°
Space group P-3m1 (No. 164)
Inequivalent atoms, fractional coordinates:
Tb: 0.0000 0.0000 0.0000 (multiplicity 1)
Sm: 0.0000 0.0000 0.5000 (multiplicity 1)
Be: 0.3333 0.6667 0.2462 (multiplicity 2)
Si: 0.3333 0.6667 0.7547 (multiplicity 2)

=====

The following is a PBE calculation of a geometry-optimized LiHoFeSe3 structure, from the Open Quantum Materials Database.

M_tot: 14.8 Bohr magnetons per cell
Crystal system: orthorhombic

Cell: 13.3673 3.9016 10.9897 Å, 90.00 90.00 90.00°
Space group Pnma (No. 62)
Inequivalent atoms, fractional coordinates:
Li: 0.2492 0.2500 0.1230 (multiplicity 4)
Ho: 0.0170 0.7500 0.8395 (multiplicity 4)
Fe: 0.0104 0.2500 0.5785 (multiplicity 4)
Se: 0.1013 0.2500 0.3844 (multiplicity 4)
Se: 0.1167 0.7500 0.0669 (multiplicity 4)
Se: 0.1422 0.2500 0.7325 (multiplicity 4)

=====

The following is a PBE calculation of a geometry-optimized BeSbPt2 structure, from the Open Quantum Materials Database.

M_tot: 0.0 Bohr magnetons per cell
Crystal system: cubic

Cell: 6.3974 6.3974 6.3974 Å, 90.00 90.00 90.00°
Space group F-43m (No. 216)
Inequivalent atoms, fractional coordinates:
Be: 0.0000 0.0000 0.0000 (multiplicity 4)
Sb: 0.2500 0.2500 0.7500 (multiplicity 4)
Pt: 0.0000 0.0000 0.5000 (multiplicity 4)
Pt: 0.2500 0.2500 0.2500 (multiplicity 4)

=====

The following is a PBE calculation of a geometry-optimized Er2Be2SiSn structure, from the Open Quantum Materials Database.

M_tot: 0.0 Bohr magnetons per cell
Crystal system: hexagonal

Cell: 4.0125 4.0125 8.0859 Å, 90.00 90.00 120.00°
Space group P-6m2 (No. 187)
Inequivalent atoms, fractional coordinates:
Er: 0.0000 0.0000 0.2377 (multiplicity 2)
Be: 0.3333 0.6667 0.0000 (multiplicity 1)
Be: 0.6667 0.3333 0.5000 (multiplicity 1)
Si: 0.6667 0.3333 0.0000 (multiplicity 1)
Sn: 0.3333 0.6667 0.5000 (multiplicity 1)

=====

The following is a PBE calculation of a geometry-optimized HfZn structure, from the Open Quantum Materials Database.

Energy relative to the elements: 0.19 eV/atom
M_tot: 0.0 Bohr magnetons per cell
Crystal system: hexagonal

Cell: 4.2332 4.2332 5.0765 Å, 90.00 90.00 120.00°
Space group P6_3/mmc (No. 194)
Inequivalent atoms, fractional coordinates:
Hf: 0.3333 0.6667 0.2500 (multiplicity 2)
Zn: 0.0000 0.0000 0.0000 (multiplicity 2)

=====

The following is a PBE calculation of a geometry-optimized Th2Zn15Ag2 structure, from the Open Quantum Materials Database.

Energy relative to the elements: -0.22 eV/atom
M_tot: 0.0 Bohr magnetons per cell
Crystal system: trigonal

Cell: 9.0819 9.0819 13.3296 Å, 90.00 90.00 120.00°
Space group R-3m (No. 166, hexagonal axes)
Inequivalent atoms, fractional coordinates:
Th: 0.0000 0.0000 0.1570 (multiplicity 6)
Zn: 0.0000 0.2914 0.5000 (multiplicity 18)
Zn: 0.0000 0.5000 0.0000 (multiplicity 9)
Zn: 0.0081 0.5040 0.6527 (multiplicity 18)
Ag: 0.0000 0.0000 0.3936 (multiplicity 6)

=====

The following is a PBE calculation of a geometry-optimized RbZr2 structure, from the Open Quantum Materials Database.

M_tot: 1.3 Bohr magnetons per cell
Crystal system: orthorhombic

Cell: 3.0546 18.7386 6.5098 Å, 90.00 90.00 90.00°
Space group Cmcm (No. 63)
Inequivalent atoms, fractional coordinates:
Rb: 0.0000 0.1246 0.2500 (multiplicity 4)
Zr: 0.0000 0.1948 0.7500 (multiplicity 4)
Zr: 0.0000 0.4403 0.2500 (multiplicity 4)

=====

Number 1: VASP energy -5.089 eV per atom. Number 2: VASP energy -5.252 eV per atom. Number 3: VASP energy -5.338 eV per atom. Number 4: VASP energy -4.917 eV per atom. Number 5: VASP energy -4.835 eV per atom. Number 6: VASP energy -5.423 eV per atom. Number 7: VASP energy -2.299 eV per atom. Number 8: VASP energy -4.999 eV per atom.